A plane-wave DFT calculation with GGA-PBE was carried out for a geometry-optimized NdScSb structure.

Calculated values
Symmetry: P4/nmm (129)
V (A^3/atom): 27.45
Uncorrected formation energy (meV per atom): -878
Magnetization (μB/cell): 0.3
E above lowest polymorph (meV/atom): 0.0
DOS at the Fermi energy (states/eV per cell): 5.19

Cell and atoms, written as POSCAR:
```
NdScSb
1.0
4.433 -0.214 -0.005
0.214 4.433 -0.006
0.006 0.006 8.363
Sc Sb Nd
2 2 2
direct
0.314 0.866 0.920 Sc
0.814 0.366 0.920 Sc
0.313 0.366 0.665 Sb
0.814 0.867 0.174 Sb
0.314 0.367 0.269 Nd
0.813 0.866 0.570 Nd
```

A plane-wave DFT calculation with GGA-PBE was carried out for a geometry-optimized CaSbAs2Br structure.

Calculated values
Symmetry: P4/mmm (123)
V (A^3/atom): 32.29
Uncorrected formation energy (meV per atom): 355
Magnetization (μB/cell): 0.2
E above lowest polymorph (meV/atom): 399.3
DOS at the Fermi energy (states/eV per cell): 5.06

Cell and atoms, written as POSCAR:
```
CaSbAs2Br
1.0
-4.458 2.914 -1.632
-2.974 -4.702 -0.272
-1.419 0.610 4.967
Ca Sb Br As
1 1 1 2
direct
0.000 0.000 0.000 Ca
0.500 0.500 0.500 Sb
0.000 0.000 0.500 Br
0.000 0.500 0.000 As
0.500 0.000 0.000 As
```

A plane-wave DFT calculation with GGA-PBE was carried out for a geometry-optimized Ho5Rh4Au structure.

Calculated values
Symmetry: P4/mmm (123)
V (A^3/atom): 20.48
Magnetization (μB/cell): 0.0
Energy of formation (eV per atom): -0.8924
DOS at the Fermi energy (states/eV per cell): 7.69

Cell and atoms, written as POSCAR:
```
Ho5Rh4Au
1.0
3.424 0.000 0.000
0.000 3.424 0.000
0.000 0.000 17.476
Ho Au Rh
5 1 4
direct
0.500 0.500 0.305 Ho
0.500 0.500 0.695 Ho
0.500 0.500 0.500 Ho
0.500 0.500 0.889 Ho
0.500 0.500 0.111 Ho
0.000 0.000 0.000 Au
0.000 0.000 0.206 Rh
0.000 0.000 0.794 Rh
0.000 0.000 0.402 Rh
0.000 0.000 0.598 Rh
```

A plane-wave DFT calculation with GGA-PBE was carried out for a geometry-optimized LaDyY2 structure.

Calculated values
Symmetry: Fm-3m (225)
V (A^3/atom): 33.76
Magnetization (μB/cell): 0.0
Energy of formation (eV per atom): 0.1083
E above lowest polymorph (meV/atom): 101.0
DOS at the Fermi energy (states/eV per cell): 7.22

Cell and atoms, written as POSCAR:
```
LaDyY2
1.0
5.759 0.000 0.000
2.879 4.987 0.000
2.879 1.662 4.702
Y La Dy
2 1 1
direct
0.750 0.750 0.750 Y
0.250 0.250 0.250 Y
0.500 0.500 0.500 La
0.000 0.000 0.000 Dy
```